First-principles (PBE) data for a relaxed Li3AcPt2 crystal, as listed in Alexandria via LeMat-Bulk.

As for the total energy: -4.3419 eV per atom.

The space group is C2/m (No. 12) and the conventional cell measures 15.4455, 4.1933 and 8.0280 Å, with angles of 90.00, 115.83 and 90.00 degrees. Symmetry generates all atoms from Li at (0.0544, 0.0000, 0.3916), Li at (0.0907, 0.5000, 0.6597), Li at (0.1913, 0.5000, 0.4712), Ac at (0.1434, 0.0000, 0.0501), Pt at (0.0237, 0.5000, 0.1832) and Pt at (0.2039, 0.0000, 0.7185).

***

First-principles (PBE) data for a relaxed PmBi2PdO8 crystal, as listed in Alexandria via LeMat-Bulk.

The uncorrected formation energy is -1.2157 eV per atom.

The space group is P2/m (No. 10) and the conventional cell measures 5.0445, 6.8620 and 5.0478 Å, with angles of 90.00, 91.74 and 90.00 degrees. Symmetry generates all atoms from Pm at (0.0000, 0.0000, 0.0000), Bi at (0.5000, 0.2601, 0.5000), Pd at (0.0000, 0.5000, 0.0000), O at (0.1901, 0.2737, 0.1919), O at (0.2912, 0.5000, 0.7102) and O at (0.3220, 0.0000, 0.6796).

***

First-principles (PBE) data for a relaxed TiNi3Pb crystal, as listed in Alexandria via LeMat-Bulk.

The polymorph energy (0 for the lowest one) is 0 meV/atom.

The space group is Pm-3m (No. 221) and the conventional cell measures 4.4897, 4.4897 and 4.4897 Å, with angles of 90.00, 90.00 and 90.00 degrees. Symmetry generates all atoms from Ti at (0.0000, 0.0000, 0.0000), Ni at (0.0000, 0.0000, 0.5000) and Pb at (0.5000, 0.5000, 0.5000).

***

First-principles (PBE) data for a relaxed AlAsSe2 crystal, as listed in Alexandria via LeMat-Bulk.

The polymorph energy (0 for the lowest one) is 361 meV/atom. The uncorrected formation energy is 0.0500 eV per atom.

The space group is Cmmm (No. 65) and the conventional cell measures 3.6279, 6.9666 and 7.4701 Å, with angles of 90.00, 90.00 and 90.00 degrees. Symmetry generates all atoms from Al at (0.0000, 0.0000, 0.0000), As at (0.0000, 0.0000, 0.5000) and Se at (0.0000, 0.5000, 0.2324).

***

First-principles (PBE) data for a relaxed SrPm2Tm crystal, as listed in Alexandria via LeMat-Bulk.

The polymorph energy (0 for the lowest one) is 7 meV/atom.

The space group is P4/mmm (No. 123) and the conventional cell measures 4.0773, 4.0773 and 9.1695 Å, with angles of 90.00, 90.00 and 90.00 degrees. Symmetry generates all atoms from Sr at (0.0000, 0.0000, 0.0000), Pm at (0.5000, 0.5000, 0.2964) and Tm at (0.0000, 0.0000, 0.5000).

***

First-principles (PBE) data for a relaxed In2GaS crystal, as listed in Alexandria via LeMat-Bulk.

The polymorph energy (0 for the lowest one) is 0 meV/atom. The uncorrected formation energy is -0.1099 eV per atom.

The space group is I-42d (No. 122) and the conventional cell measures 6.3138, 6.3138 and 11.9829 Å, with angles of 90.00, 90.00 and 90.00 degrees. Symmetry generates all atoms from In at (0.2458, 0.2500, 0.1250), Ga at (0.0000, 0.0000, 0.5000) and S at (0.0000, 0.0000, 0.0000).

***

First-principles (PBE) data for a relaxed Hf4Al2Mo crystal, as listed in Alexandria via LeMat-Bulk.

As for the total energy: -7.6246 eV per atom.

The space group is I4/mmm (No. 139) and the conventional cell measures 4.9744, 4.9744 and 13.7837 Å, with angles of 90.00, 90.00 and 90.00 degrees. Symmetry generates all atoms from Hf at (0.0000, 0.0000, 0.1832), Hf at (0.0000, 0.5000, 0.0000), Al at (0.0000, 0.0000, 0.3837) and Mo at (0.0000, 0.0000, 0.0000).

***

First-principles (PBE) data for a relaxed NbCoOs2 crystal, as listed in Alexandria via LeMat-Bulk.

The polymorph energy (0 for the lowest one) is 0 meV/atom.

The space group is P4/mmm (No. 123) and the conventional cell measures 3.8411, 3.8411 and 3.8684 Å, with angles of 90.00, 90.00 and 90.00 degrees. Symmetry generates all atoms from Nb at (0.0000, 0.0000, 0.0000), Co at (0.5000, 0.5000, 0.0000) and Os at (0.0000, 0.5000, 0.5000).